No. 1
# PBEsol Sr8In4Cu3N5, relaxed
# Formation energy from raw total energies: -0.57 eV per atom
# Total moment: 0.00 μB/f.u.
# N(E_F): 6.639 states/eV/cell
# VASP energy: -4.69 eV/atom
data_Sr8In4Cu3N5
_chemical_formula_sum 'Sr16 In8 Cu6 N10'
_symmetry_space_group_name_H-M 'I m m m'
_symmetry_Int_Tables_number 71
_symmetry_space_group_name_Hall '-I 2 2'
_cell_length_a 3.756
_cell_length_b 12.350
_cell_length_c 18.769
_cell_angle_alpha 90.00
_cell_angle_beta 90.00
_cell_angle_gamma 90.00
loop_
_atom_site_label
_atom_site_type_symbol
_atom_site_fract_x
_atom_site_fract_y
_atom_site_fract_z
Sr1 Sr 0.000 0.148 0.210
Sr2 Sr 0.000 0.151 0.402
In1 In 0.000 0.155 0.000
In2 In 0.000 0.500 0.418
Cu1 Cu 0.000 0.500 0.000
Cu2 Cu 0.000 0.500 0.193
N1 N 0.000 0.000 0.500
N2 N 0.000 0.349 0.195


No. 2
# PBEsol CaSn2Bi2, relaxed
# Total moment: 0.00 μB/f.u.
# ΔH_f (0 K): -0.220 eV per atom
# N(E_F): 5.455 states/eV/cell
# VASP energy: -4.06 eV/atom
data_CaSn2Bi2
_chemical_formula_sum 'Ca2 Sn4 Bi4'
_symmetry_space_group_name_H-M 'I 4/m m m'
_symmetry_Int_Tables_number 139
_symmetry_space_group_name_Hall '-I 4 2'
_cell_length_a 4.331
_cell_length_b 4.331
_cell_length_c 16.533
_cell_angle_alpha 90.00
_cell_angle_beta 90.00
_cell_angle_gamma 90.00
loop_
_atom_site_label
_atom_site_type_symbol
_atom_site_fract_x
_atom_site_fract_y
_atom_site_fract_z
Ca1 Ca 0.000 0.000 0.000
Sn1 Sn 0.000 0.500 0.250
Bi1 Bi 0.000 0.000 0.407


No. 3
# PBEsol Cr2TcRu, relaxed
# Total moment: 0.00 μB/f.u.
# ΔH_f (0 K): 0.233 eV per atom
# N(E_F): 12.939 states/eV/cell
# VASP energy: -10.25 eV/atom
data_Cr2TcRu
_chemical_formula_sum 'Cr6 Tc3 Ru3'
_symmetry_space_group_name_H-M 'R 3 m'
_symmetry_Int_Tables_number 160
_symmetry_space_group_name_Hall 'R 3 -2"'
_cell_length_a 2.6342
_cell_length_b 2.6342
_cell_length_c 25.2323
_cell_angle_alpha 90.00
_cell_angle_beta 90.00
_cell_angle_gamma 120.00
loop_
_atom_site_label
_atom_site_type_symbol
_atom_site_fract_x
_atom_site_fract_y
_atom_site_fract_z
Cr1 Cr 0.0000 0.0000 0.0000
Cr2 Cr 0.0000 0.0000 0.2542
Tc1 Tc 0.0000 0.0000 0.5051
Ru1 Ru 0.0000 0.0000 0.7465